i | Entry from Alexandria: a relaxed Tb3Cd2Hg3 crystal (GGA-PBE). Values from VASP.

```
&SYSTEM
  ibrav = 0, nat = 8, ntyp = 3
/
ATOMIC_SPECIES
Tb 158.93 Tb.upf
Cd 112.41 Cd.upf
Hg 200.59 Hg.upf
ATOMIC_POSITIONS angstrom
Tb -1.4574 2.5244 0.0000
Tb 2.9149 0.0000 0.0000
Tb 2.5049 4.3386 0.0000
Cd 0.0000 4.5753 1.9142
Cd 3.9624 2.2877 1.9142
Hg -2.9652 5.1358 1.9142
Hg 0.9972 1.7272 1.9142
Hg 5.9303 0.0000 1.9142
CELL_PARAMETERS angstrom
7.9247 0.0000 0.0000
-3.9624 6.8630 0.0000
0.0000 0.0000 3.8285
```

ii | Entry from Alexandria: a relaxed Tb3Cd2Hg3 crystal (GGA-PBE). Values from VASP.

```
&SYSTEM
  ibrav = 0, nat = 8, ntyp = 3
/
ATOMIC_SPECIES
Tb 158.93 Tb.upf
Cd 112.41 Cd.upf
Hg 200.59 Hg.upf
ATOMIC_POSITIONS angstrom
Tb 0.0000 0.0000 0.0000
Tb 1.9169 0.0000 7.4654
Tb 0.0000 2.6021 2.6755
Cd 0.0000 0.0000 4.8523
Cd 0.0000 0.0000 15.4295
Hg 1.9169 0.0000 2.4616
Hg 0.0000 0.0000 10.1409
Hg 0.0000 2.6021 7.6793
CELL_PARAMETERS angstrom
-1.9169 2.6021 10.1409
1.9169 -2.6021 10.1409
1.9169 2.6021 -10.1409
```

Most favorable first, least favorable last: ii, i

i | Entry from Alexandria: a relaxed TbCd3Hg3 crystal (GGA-PBE). Values from VASP.

```
&SYSTEM
  ibrav = 0, nat = 14, ntyp = 3
/
ATOMIC_SPECIES
Tb 158.93 Tb.upf
Cd 112.41 Cd.upf
Hg 200.59 Hg.upf
ATOMIC_POSITIONS angstrom
Tb 0.0000 0.0000 0.0000
Tb 3.8765 3.8765 3.8765
Cd 0.0000 1.9383 3.8765
Cd 0.0000 5.8148 3.8765
Cd 1.9383 3.8765 0.0000
Cd 3.8765 0.0000 1.9383
Cd 3.8765 0.0000 5.8148
Cd 5.8148 3.8765 0.0000
Hg 0.0000 3.8765 1.9383
Hg 0.0000 3.8765 5.8148
Hg 1.9383 0.0000 3.8765
Hg 3.8765 1.9383 0.0000
Hg 3.8765 5.8148 0.0000
Hg 5.8148 0.0000 3.8765
CELL_PARAMETERS angstrom
7.7531 0.0000 0.0000
0.0000 7.7531 0.0000
0.0000 0.0000 7.7531
```

ii | Entry from Alexandria: a relaxed TbCd3Hg3 crystal (GGA-PBE). Values from VASP.

```
&SYSTEM
  ibrav = 0, nat = 14, ntyp = 3
/
ATOMIC_SPECIES
Tb 158.93 Tb.upf
Cd 112.41 Cd.upf
Hg 200.59 Hg.upf
ATOMIC_POSITIONS angstrom
Tb 0.0000 0.0000 5.9334
Tb 0.0000 0.0000 23.6214
Cd -0.0134 -1.7695 8.7438
Cd -1.5257 0.8963 8.7438
Cd -1.5391 -0.8732 20.8109
Cd 1.5391 0.8732 8.7439
Cd 1.5257 -0.8963 20.8109
Cd 0.0134 1.7695 20.8109
Hg -1.5603 -0.8942 16.2747
Hg -0.0057 -1.7983 13.2801
Hg -1.5545 0.9041 13.2801
Hg 1.5545 -0.9041 16.2747
Hg 0.0057 1.7983 16.2747
Hg 1.5603 0.8942 13.2801
CELL_PARAMETERS angstrom
3.2485 1.8755 9.8516
-3.2485 1.8755 9.8516
0.0000 -3.7510 9.8516
```

Most favorable first, least favorable last: ii, i

i | Entry from Alexandria: a relaxed TbCd2Hg3 crystal (GGA-PBE). Values from VASP.

```
&SYSTEM
  ibrav = 0, nat = 12, ntyp = 3
/
ATOMIC_SPECIES
Tb 158.93 Tb.upf
Cd 112.41 Cd.upf
Hg 200.59 Hg.upf
ATOMIC_POSITIONS angstrom
Tb 2.0880 0.0000 0.0204
Tb 8.3495 0.0000 8.0694
Cd 2.1871 0.0000 3.6130
Cd 2.7420 0.0000 6.6493
Cd 7.6954 0.0000 1.4405
Cd 8.2503 0.0000 4.4769
Hg -1.1082 0.0000 3.1043
Hg -0.1522 0.0000 6.1982
Hg 4.7726 0.0000 1.8839
Hg 5.6649 0.0000 6.2060
Hg 10.5897 0.0000 1.8917
Hg 11.5457 0.0000 4.9855
CELL_PARAMETERS angstrom
7.6709 -2.3751 0.0000
7.6709 2.3751 0.0000
-4.9043 0.0000 8.0898
```

ii | Entry from Alexandria: a relaxed TbCd2Hg3 crystal (GGA-PBE). Values from VASP.

```
&SYSTEM
  ibrav = 0, nat = 12, ntyp = 3
/
ATOMIC_SPECIES
Tb 158.93 Tb.upf
Cd 112.41 Cd.upf
Hg 200.59 Hg.upf
ATOMIC_POSITIONS angstrom
Tb 0.0000 2.9576 2.0294
Tb 2.5613 1.4788 10.5010
Cd 0.0000 0.0000 0.0000
Cd 0.0000 0.0000 6.2652
Cd 0.0000 2.9576 8.3781
Cd 2.5613 1.4788 4.1523
Hg 0.0000 0.0000 3.1872
Hg 0.0000 0.0000 9.3432
Hg 0.0000 2.9576 5.2068
Hg 0.0000 2.9576 11.4683
Hg 2.5613 1.4788 1.0621
Hg 2.5613 1.4788 7.3236
CELL_PARAMETERS angstrom
5.1227 0.0000 0.0000
-2.5613 4.4364 0.0000
0.0000 0.0000 12.5304
```

Most favorable first, least favorable last: ii, i

i | Entry from Alexandria: a relaxed Tb4Cd3Hg crystal (GGA-PBE). Values from VASP.

```
&SYSTEM
  ibrav = 0, nat = 8, ntyp = 3
/
ATOMIC_SPECIES
Tb 158.93 Tb.upf
Cd 112.41 Cd.upf
Hg 200.59 Hg.upf
ATOMIC_POSITIONS angstrom
Tb 0.0000 0.0000 1.8469
Tb 0.0000 0.0000 5.6102
Tb 0.0000 0.0000 9.3765
Tb 0.0000 0.0000 13.1398
Cd 1.8782 1.8782 3.7535
Cd 1.8782 1.8782 7.4933
Cd 1.8782 1.8782 11.2331
Hg 1.8782 1.8782 0.0000
CELL_PARAMETERS angstrom
3.7564 0.0000 0.0000
0.0000 3.7564 0.0000
0.0000 0.0000 14.9867
```

ii | Entry from Alexandria: a relaxed Tb4Cd3Hg crystal (GGA-PBE). Values from VASP.

```
&SYSTEM
  ibrav = 0, nat = 8, ntyp = 3
/
ATOMIC_SPECIES
Tb 158.93 Tb.upf
Cd 112.41 Cd.upf
Hg 200.59 Hg.upf
ATOMIC_POSITIONS angstrom
Tb 0.0000 0.0000 0.0000
Tb 0.0000 2.4536 3.7495
Tb 1.8180 0.0000 5.9705
Tb 1.8180 2.4536 9.8097
Cd 0.0000 0.0000 8.7749
Cd 0.0000 2.4536 7.0029
Cd 1.8180 2.4536 0.9788
Hg 1.8180 0.0000 2.8046
CELL_PARAMETERS angstrom
3.6361 0.0000 0.0000
0.0000 4.9072 0.0000
0.0000 0.0000 12.0348
```

Most favorable first, least favorable last: i, ii

i | Entry from Alexandria: a relaxed TbCd3Hg4 crystal (GGA-PBE). Values from VASP.

```
&SYSTEM
  ibrav = 0, nat = 8, ntyp = 3
/
ATOMIC_SPECIES
Tb 158.93 Tb.upf
Cd 112.41 Cd.upf
Hg 200.59 Hg.upf
ATOMIC_POSITIONS angstrom
Tb 0.0000 0.0000 0.0000
Cd 0.0000 0.0000 4.0898
Cd 2.4041 2.4041 0.0000
Cd 2.4041 2.4041 4.0898
Hg 0.0000 2.4041 2.0891
Hg 0.0000 2.4041 6.0904
Hg 2.4041 0.0000 2.0891
Hg 2.4041 0.0000 6.0904
CELL_PARAMETERS angstrom
4.8082 0.0000 0.0000
0.0000 4.8082 0.0000
0.0000 0.0000 8.1796
```

ii | Entry from Alexandria: a relaxed TbCd3Hg4 crystal (GGA-PBE). Values from VASP.

```
&SYSTEM
  ibrav = 0, nat = 8, ntyp = 3
/
ATOMIC_SPECIES
Tb 158.93 Tb.upf
Cd 112.41 Cd.upf
Hg 200.59 Hg.upf
ATOMIC_POSITIONS angstrom
Tb 0.0000 0.0000 0.0000
Cd 6.0261 0.0000 3.7908
Cd 8.8085 0.0000 2.1732
Cd 11.5910 0.0000 0.5556
Hg 1.6205 0.0000 2.6980
Hg 4.3685 0.0000 1.0739
Hg 13.2486 0.0000 3.2725
Hg 15.9966 0.0000 1.6484
CELL_PARAMETERS angstrom
9.3340 -2.3799 0.0000
9.3340 2.3799 0.0000
-1.0509 0.0000 4.3464
```

Most favorable first, least favorable last: i, ii

i | Entry from Alexandria: a relaxed Tb4Cd2Hg crystal (GGA-PBE). Values from VASP.

```
&SYSTEM
  ibrav = 0, nat = 7, ntyp = 3
/
ATOMIC_SPECIES
Tb 158.93 Tb.upf
Cd 112.41 Cd.upf
Hg 200.59 Hg.upf
ATOMIC_POSITIONS angstrom
Tb 0.0000 0.0000 3.0344
Tb 0.0000 0.0000 9.4205
Tb 0.0000 0.0000 15.9018
Tb 0.0000 0.0000 22.2879
Cd 0.0000 0.0000 6.3016
Cd 0.0000 0.0000 19.0207
Hg 0.0000 0.0000 12.6611
CELL_PARAMETERS angstrom
2.6227 1.5142 8.4408
-2.6227 1.5142 8.4408
0.0000 -3.0284 8.4408
```

ii | Entry from Alexandria: a relaxed Tb4Cd2Hg crystal (GGA-PBE). Values from VASP.

```
&SYSTEM
  ibrav = 0, nat = 7, ntyp = 3
/
ATOMIC_SPECIES
Tb 158.93 Tb.upf
Cd 112.41 Cd.upf
Hg 200.59 Hg.upf
ATOMIC_POSITIONS angstrom
Tb 2.8537 0.0000 0.0000
Tb 2.8537 0.0000 3.3276
Tb 0.0000 2.8537 0.0000
Tb 0.0000 2.8537 3.3276
Cd 0.0000 0.0000 1.6734
Cd 0.0000 0.0000 11.6371
Hg 0.0000 0.0000 6.6553
CELL_PARAMETERS angstrom
-2.8537 2.8537 6.6553
2.8537 -2.8537 6.6553
2.8537 2.8537 -6.6553
```

Most favorable first, least favorable last: i, ii

i | Entry from Alexandria: a relaxed TbCd12Hg6 crystal (GGA-PBE). Values from VASP.

```
&SYSTEM
  ibrav = 0, nat = 19, ntyp = 3
/
ATOMIC_SPECIES
Tb 158.93 Tb.upf
Cd 112.41 Cd.upf
Hg 200.59 Hg.upf
ATOMIC_POSITIONS angstrom
Tb 0.0000 0.0000 0.0000
Cd -4.5938 0.7552 3.3984
Cd -2.5021 -1.4005 4.6133
Cd -2.9509 -3.6008 6.7473
Cd 1.6429 -4.3560 3.3984
Cd -0.0381 -2.8671 5.5325
Cd -2.4639 1.4666 5.5325
Cd 2.4639 -1.4666 4.6133
Cd 0.0381 2.8671 4.6133
Cd -1.6429 4.3560 6.7473
Cd 2.9509 3.6008 3.3984
Cd 2.5021 1.4005 5.5325
Cd 4.5938 -0.7552 6.7473
Hg -0.0348 -1.8552 2.5344
Hg -1.5892 0.9577 2.5344
Hg 1.6240 0.8975 2.5344
Hg -1.6240 -0.8975 7.6114
Hg 1.5892 -0.9577 7.6114
Hg 0.0348 1.8552 7.6114
CELL_PARAMETERS angstrom
6.2704 3.6202 3.3819
-6.2704 3.6202 3.3819
0.0000 -7.2404 3.3819
```

ii | Entry from Alexandria: a relaxed TbCd12Hg6 crystal (GGA-PBE). Values from VASP.

```
&SYSTEM
  ibrav = 0, nat = 19, ntyp = 3
/
ATOMIC_SPECIES
Tb 158.93 Tb.upf
Cd 112.41 Cd.upf
Hg 200.59 Hg.upf
ATOMIC_POSITIONS angstrom
Tb 0.0000 0.0000 0.0000
Cd 0.0000 -1.8371 2.7713
Cd -1.5910 0.9185 2.7713
Cd -1.6937 -0.9779 5.2926
Cd 1.5910 0.9185 2.7713
Cd 0.0000 -1.9558 7.9424
Cd -1.6937 0.9779 7.9424
Cd 1.6938 -0.9779 5.2926
Cd 0.0000 1.9558 5.2926
Cd -1.5910 -0.9185 10.4637
Cd 1.6937 0.9779 7.9424
Cd 1.5910 -0.9185 10.4637
Cd 0.0000 1.8371 10.4637
Hg 0.0000 -3.5059 5.3171
Hg -3.0362 1.7529 5.3171
Hg -3.0362 -1.7529 7.9179
Hg 3.0362 1.7529 5.3171
Hg 3.0362 -1.7529 7.9179
Hg 0.0000 3.5059 7.9179
CELL_PARAMETERS angstrom
5.5698 3.2157 4.4117
-5.5698 3.2157 4.4117
0.0000 -6.4315 4.4117
```

Most favorable first, least favorable last: i, ii

i | Entry from Alexandria: a relaxed Tb4CdHg crystal (GGA-PBE). Values from VASP.

```
&SYSTEM
  ibrav = 0, nat = 6, ntyp = 3
/
ATOMIC_SPECIES
Tb 158.93 Tb.upf
Cd 112.41 Cd.upf
Hg 200.59 Hg.upf
ATOMIC_POSITIONS angstrom
Tb 0.0000 0.0000 3.1227
Tb 0.0000 0.0000 9.4320
Tb 0.0000 0.0000 15.7734
Tb 0.0000 0.0000 22.0827
Cd 0.0000 0.0000 12.6027
Hg 0.0000 0.0000 0.0000
CELL_PARAMETERS angstrom
2.5669 1.4820 8.4018
-2.5669 1.4820 8.4018
0.0000 -2.9640 8.4018
```

ii | Entry from Alexandria: a relaxed Tb4CdHg crystal (GGA-PBE). Values from VASP.

```
&SYSTEM
  ibrav = 0, nat = 6, ntyp = 3
/
ATOMIC_SPECIES
Tb 158.93 Tb.upf
Cd 112.41 Cd.upf
Hg 200.59 Hg.upf
ATOMIC_POSITIONS angstrom
Tb 0.0000 0.0000 2.0036
Tb 0.0000 0.0000 11.0101
Tb 1.8075 1.8075 4.4570
Tb 1.8075 1.8075 8.5567
Cd 0.0000 0.0000 6.5068
Hg 1.8075 1.8075 0.0000
CELL_PARAMETERS angstrom
3.6151 0.0000 0.0000
0.0000 3.6151 0.0000
0.0000 0.0000 13.0137
```

Most favorable first, least favorable last: ii, i

i | Entry from Alexandria: a relaxed CdTc2HgTe crystal (GGA-PBE). Values from VASP.

```
&SYSTEM
  ibrav = 0, nat = 5, ntyp = 4
/
ATOMIC_SPECIES
Cd 112.41 Cd.upf
Tc 98.00 Tc.upf
Hg 200.59 Hg.upf
Te 127.60 Te.upf
ATOMIC_POSITIONS angstrom
Cd 0.0000 0.0000 0.0000
Tc 0.0000 2.4734 2.7625
Tc 2.4734 0.0000 2.7625
Hg 2.4734 2.4734 0.0000
Te 2.4734 2.4734 2.7625
CELL_PARAMETERS angstrom
4.9469 0.0000 0.0000
0.0000 4.9469 0.0000
0.0000 0.0000 5.5251
```

ii | Entry from Alexandria: a relaxed CdTc2HgTe crystal (GGA-PBE). Values from VASP.

```
&SYSTEM
  ibrav = 0, nat = 5, ntyp = 4
/
ATOMIC_SPECIES
Cd 112.41 Cd.upf
Tc 98.00 Tc.upf
Hg 200.59 Hg.upf
Te 127.60 Te.upf
ATOMIC_POSITIONS angstrom
Cd 0.0000 0.0000 0.0000
Tc 0.0000 2.6132 0.0000
Tc 2.6132 0.0000 0.0000
Hg 0.0000 0.0000 2.5706
Te 2.6132 2.6132 2.5706
CELL_PARAMETERS angstrom
5.2263 0.0000 0.0000
0.0000 5.2263 0.0000
0.0000 0.0000 5.1412
```

Most favorable first, least favorable last: i, ii

i | Entry from Alexandria: a relaxed Cd2Hg2Te crystal (GGA-PBE). Values from VASP.

```
&SYSTEM
  ibrav = 0, nat = 10, ntyp = 3
/
ATOMIC_SPECIES
Cd 112.41 Cd.upf
Hg 200.59 Hg.upf
Te 127.60 Te.upf
ATOMIC_POSITIONS angstrom
Cd 1.0519 2.8149 0.0000
Cd 2.8149 6.6817 0.0000
Cd 4.9187 1.0519 0.0000
Cd 6.6817 4.9187 0.0000
Hg 1.2800 5.1468 2.3251
Hg 2.5867 1.2800 2.3251
Hg 5.1468 6.4535 2.3251
Hg 6.4535 2.5867 2.3251
Te 0.0000 0.0000 0.0000
Te 3.8668 3.8668 0.0000
CELL_PARAMETERS angstrom
7.7336 0.0000 0.0000
0.0000 7.7336 0.0000
0.0000 0.0000 4.6503
```

ii | Entry from Alexandria: a relaxed Cd2Hg2Te crystal (GGA-PBE). Values from VASP.

```
&SYSTEM
  ibrav = 0, nat = 5, ntyp = 3
/
ATOMIC_SPECIES
Cd 112.41 Cd.upf
Hg 200.59 Hg.upf
Te 127.60 Te.upf
ATOMIC_POSITIONS angstrom
Cd 2.1737 0.0000 3.5231
Cd 0.0000 2.1737 3.5231
Hg 0.0000 0.0000 1.4313
Hg 0.0000 0.0000 12.6613
Te 0.0000 0.0000 7.0463
CELL_PARAMETERS angstrom
-2.1737 2.1737 7.0463
2.1737 -2.1737 7.0463
2.1737 2.1737 -7.0463
```

iii | Entry from Alexandria: a relaxed Cd2Hg2Te crystal (GGA-PBE). Values from VASP.

```
&SYSTEM
  ibrav = 0, nat = 5, ntyp = 3
/
ATOMIC_SPECIES
Cd 112.41 Cd.upf
Hg 200.59 Hg.upf
Te 127.60 Te.upf
ATOMIC_POSITIONS angstrom
Cd 0.0000 0.0000 1.4352
Cd 0.0000 0.0000 13.2246
Hg 2.1422 0.0000 3.6650
Hg 0.0000 2.1422 3.6650
Te 0.0000 0.0000 7.3299
CELL_PARAMETERS angstrom
-2.1422 2.1422 7.3299
2.1422 -2.1422 7.3299
2.1422 2.1422 -7.3299
```

Most favorable first, least favorable last: i, iii, ii

i | Entry from Alexandria: a relaxed Th2Cd3Hg crystal (GGA-PBE). Values from VASP.

```
&SYSTEM
  ibrav = 0, nat = 6, ntyp = 3
/
ATOMIC_SPECIES
Th 232.04 Th.upf
Cd 112.41 Cd.upf
Hg 200.59 Hg.upf
ATOMIC_POSITIONS angstrom
Th 0.0000 0.0000 0.0000
Th 0.0000 2.5507 4.3356
Cd 1.6973 0.0000 5.8920
Cd 1.6973 2.5507 1.3962
Cd 1.6973 2.5507 7.3119
Hg 1.6973 0.0000 2.9292
CELL_PARAMETERS angstrom
3.3946 0.0000 0.0000
0.0000 5.1015 0.0000
0.0000 0.0000 8.8541
```

ii | Entry from Alexandria: a relaxed Th2Cd3Hg crystal (GGA-PBE). Values from VASP.

```
&SYSTEM
  ibrav = 0, nat = 12, ntyp = 3
/
ATOMIC_SPECIES
Th 232.04 Th.upf
Cd 112.41 Cd.upf
Hg 200.59 Hg.upf
ATOMIC_POSITIONS angstrom
Th 5.1503 5.0903 8.8208
Th 1.7123 2.5452 4.4104
Th 5.1370 7.6355 13.2311
Th 1.6991 5.0903 8.8208
Cd 3.4247 2.5591 7.3533
Cd 3.4247 5.0903 5.8968
Cd 3.4247 2.5591 10.2882
Cd 3.4247 7.6215 7.3533
Cd 3.4247 5.0903 11.7447
Cd 3.4247 7.6215 10.2882
Hg 3.4247 5.0903 2.9422
Hg 3.4247 5.0903 14.6993
CELL_PARAMETERS angstrom
0.0000 5.0903 8.8208
3.4247 0.0000 8.8208
3.4247 5.0903 0.0000
```

Most favorable first, least favorable last: i, ii